MgV2O4: optimized geometry, PBE+U.

calculated total energy: -207.6 eV per cell

Lattice parameters (Å, degrees): 8.5838 8.4804 6.0560 90.00 134.71 90.00
Closest atoms and distances in Å follow each position.
Space group C2/c (No. 15)
One atom of each set of equivalent atoms:
1 Mg 0.0000 0.0000 0.0000 [4 per cell]  6 O 2.10
2 V 0.0000 0.3803 0.2500 [4 per cell]  4 O 1.95-1.97
3 V 0.2500 0.2500 0.0000 [4 per cell]  6 O 2.02-2.09
4 O 0.0010 0.2472 0.9854 [8 per cell]  3 V 1.97-2.09, 1 Mg 2.10
5 O 0.2382 0.0123 0.9879 [8 per cell]  2 V 1.95-2.02, 2 Mg 2.10